Record 1
NiBP (PBE, optimized geometry); calculated formation energy = -0.070 eV/atom; SG = Cm, No. 8; magnetic moment = 0.00 μB/f.u.
1.0
-2.455 2.248 -2.979
-2.447 -0.002 2.015
3.402 2.315 4.132
P Ni B
2 2 2
direct
0.428 0.000 0.427 P
0.428 0.500 0.927 P
0.999 0.000 0.845 Ni
0.999 0.500 0.345 Ni
0.580 0.000 0.176 B
0.580 0.500 0.676 B

---

Record 2
SrLa3Os (PBE, optimized geometry); calculated formation energy = -0.076 eV/atom; SG = P1, No. 1; magnetic moment = 0.00 μB/f.u.
1.0
7.069 0.000 0.001
2.316 7.838 0.008
0.001 -4.260 6.967
La Sr Os
6 2 2
direct
0.216 0.540 0.932 La
0.723 0.532 0.159 La
0.216 0.540 0.396 La
0.733 0.036 0.664 La
0.230 0.043 0.916 La
0.733 0.036 0.159 La
0.717 0.540 0.663 Sr
0.236 0.042 0.415 Sr
0.942 0.798 0.293 Os
0.475 0.268 0.028 Os

---

Record-wise raw total energy values, in eV/atom: -6.03 -5.61